[1]
## Li2AlCr (PBE)

Data for a geometry-optimized Li2AlCr structure.

**Magnetization**: 4.04 μB/f.u.
**Uncorrected energy**: -4.1233 eV/atom
**ρ**: 2.403 g/cm³
**Crystal system**: tetragonal
**SG**: I4/mmm
**Formation energy from the elements**: 175 meV/atom

Geometry as POSCAR:
```
Li2AlCr
1.0
5.134 -0.281 0.000
2.534 4.474 0.000
-3.834 -2.097 2.710
Al Cr Li
1 1 2
Direct
0.250 0.750 0.500
0.750 0.250 0.500
0.000 0.000 0.000
0.500 0.500 0.000
```

[2]
## LiAl2Cr (PBE)

Data for a geometry-optimized LiAl2Cr structure.

**Magnetization**: 3.22 μB/f.u.
**Uncorrected energy**: -4.6257 eV/atom
**ρ**: 3.028 g/cm³
**Crystal system**: orthorhombic
**SG**: Pmm2
**Formation energy from the elements**: 130 meV/atom

Geometry as POSCAR:
```
LiAl2Cr
1.0
2.872 0.000 0.000
0.000 3.920 0.000
0.000 0.000 5.499
Al Cr Li
2 1 1
Direct
0.000 0.000 0.993
0.500 0.500 0.271
0.000 0.000 0.486
0.500 0.500 0.750
```

[3]
## Li2AlCr (PBE)

Data for a geometry-optimized Li2AlCr structure.

**Magnetization**: 1.21 μB/f.u.
**Uncorrected energy**: -3.9589 eV/atom
**ρ**: 2.683 g/cm³
**Crystal system**: trigonal
**SG**: R-3m
**Formation energy from the elements**: 340 meV/atom

Geometry as POSCAR:
```
Li2AlCr
1.0
-8.618 -4.147 -0.087
-7.227 -6.208 0.834
-8.131 -4.364 2.511
Al Cr Li
1 1 2
Direct
0.250 0.250 0.250
0.750 0.750 0.750
0.002 0.002 0.002
0.498 0.498 0.498
```

[4]
## Li3AlCr (PBE)

Data for a geometry-optimized Li3AlCr structure.

**Magnetization**: 0.78 μB/f.u.
**Polymorph energy (0 for the lowest one)**: 366.6 meV per atom
**Uncorrected energy**: -2.6264 eV/atom
**ρ**: 1.645 g/cm³
**Crystal system**: cubic
**SG**: Pm-3m
**Formation energy from the elements**: 1195 meV/atom

Geometry as POSCAR:
```
Li3AlCr
1.0
-4.185 -1.686 -1.137
1.771 -4.301 -0.138
-1.001 -0.556 4.510
Cr Al Li
1 1 3
Direct
0.500 0.500 0.500
0.000 0.000 0.000
0.000 0.500 0.000
0.000 0.000 0.500
0.500 0.000 0.000
```

[5]
## LiAl2Cr (PBE)

Data for a geometry-optimized LiAl2Cr structure.

**Magnetization**: 3.23 μB/f.u.
**Uncorrected energy**: -4.6291 eV/atom
**ρ**: 3.104 g/cm³
**Crystal system**: tetragonal
**SG**: P4mm
**Formation energy from the elements**: 126 meV/atom

Geometry as POSCAR:
```
LiAl2Cr
1.0
3.220 0.000 0.000
0.000 3.220 0.000
0.000 0.000 5.824
Al Cr Li
2 1 1
Direct
0.000 0.000 0.988
0.500 0.500 0.270
0.000 0.000 0.496
0.500 0.500 0.746
```

[6]
## LiAl2Cr (PBE)

Data for a geometry-optimized LiAl2Cr structure.

**Magnetization**: 0.26 μB/f.u.
**Uncorrected energy**: -4.8365 eV/atom
**ρ**: 3.449 g/cm³
**Crystal system**: tetragonal
**SG**: P4/mmm
**Formation energy from the elements**: -81 meV/atom

Geometry as POSCAR:
```
LiAl2Cr
1.0
4.435 0.000 0.000
0.000 2.763 -0.001
0.000 0.000 4.436
Cr Al Li
1 2 1
Direct
0.000 0.625 0.375
0.000 0.125 0.875
0.500 0.125 0.375
0.500 0.625 0.875
```

[7]
## Li2AlCr (PBE)

Data for a geometry-optimized Li2AlCr structure.

**Magnetization**: 3.41 μB/f.u.
**Uncorrected energy**: -4.0935 eV/atom
**ρ**: 2.422 g/cm³
**Crystal system**: tetragonal
**SG**: P4/mmm
**Formation energy from the elements**: 205 meV/atom

Geometry as POSCAR:
```
Li2AlCr
1.0
-2.627 -3.604 -0.169
3.014 -2.164 -0.708
0.490 -0.531 3.708
Al Cr Li
1 1 2
Direct
0.500 0.500 0.000
0.500 0.000 0.500
0.000 0.000 0.000
0.000 0.500 0.500
```

[8]
## LiAl2Cr (PBE)

Data for a geometry-optimized LiAl2Cr structure.

**Magnetization**: 0.00 μB/f.u.
**Uncorrected energy**: -4.5760 eV/atom
**ρ**: 3.178 g/cm³
**Crystal system**: tetragonal
**SG**: P4mm
**Formation energy from the elements**: 180 meV/atom

Geometry as POSCAR:
```
LiAl2Cr
1.0
2.638 0.000 0.000
0.000 2.638 0.000
0.000 0.000 8.480
Al Cr Li
2 1 1
Direct
0.000 0.000 0.008
0.500 0.500 0.265
0.000 0.000 0.484
0.500 0.500 0.743
```